Record 1
An optimized crystal structure of CrNiOs2. Source: Alexandria, functional PBE.

a b c (Å): 4.2101 4.2101 4.2101
angles (deg): 60.00 60.00 60.00
Last column: nearest neighbours and their distance in Å.
Sites, in units of the cell vectors:
Cr 0.0000 0.0000 0.0000  4 Os 2.58, 4 Ni 2.58
Ni 0.2500 0.2500 0.2500  4 Cr 2.58, 4 Os 2.58
Os 0.5000 0.5000 0.5000  4 Ni 2.58, 4 Os 2.58
Os 0.7500 0.7500 0.7500  4 Cr 2.58, 4 Os 2.58

Calculated values
**DFT total energy**: -0.6688 Ry per atom
**Total moment**: 0.2 μB per formula unit
**Energy relative to the lowest polymorph listed for this composition**: 294 meV per atom
**Space-group type**: F-43m
**ΔH_f (0 K)**: 0.367 eV per atom

=====

Record 2
An optimized crystal structure of Cs2La2CeSe6. Source: Alexandria, functional PBE.

a b c (Å): 7.6098 7.6098 8.8968
angles (deg): 98.38 98.38 119.65
Last column: nearest neighbours and their distance in Å.
Sites, in units of the cell vectors:
Cs 0.1697 0.8303 0.0000  6 Se 3.68-3.74
Cs 0.8303 0.1697 0.0000  6 Se 3.68-3.74
La 0.3341 0.6659 0.5000  6 Se 3.02-3.04
La 0.6659 0.3341 0.5000  6 Se 3.02-3.04
Ce 0.0000 0.0000 0.5000  6 Se 2.88-2.90
Se 0.0607 0.3821 0.6830  1 Ce 2.90, 2 La 3.02-3.04
Se 0.2549 0.2549 0.3168  1 Ce 2.88, 2 La 3.03
Se 0.3821 0.0607 0.6830  1 Ce 2.90, 2 La 3.02-3.04
Se 0.6179 0.9393 0.3170  1 Ce 2.90, 2 La 3.02-3.04
Se 0.7451 0.7451 0.6832  1 Ce 2.88, 2 La 3.03
Se 0.9393 0.6179 0.3170  1 Ce 2.90, 2 La 3.02-3.04

Calculated values
**DFT total energy**: -0.3869 Ry per atom
**Total moment**: 0.0 μB per formula unit
**Space-group type**: C2/m
**Formation energy without anion corrections**: -1.773 eV per atom

=====

Record 3
An optimized crystal structure of Sr5Ca5P6Cl2O24. Source: Alexandria, functional PBE.

a b c (Å): 9.9299 7.0043 9.9300
angles (deg): 90.00 119.91 90.00
Last column: nearest neighbours and their distance in Å.
Sites, in units of the cell vectors:
Sr 0.0000 0.0000 0.0000  5 O 2.44-2.68
Sr 0.0085 0.5000 0.4994  5 O 2.45-2.69
Sr 0.2547 0.5000 0.0017  5 O 2.46-2.67
Sr 0.7449 0.5000 0.7434  5 O 2.45-2.65
Sr 0.7535 0.0000 0.4925  5 O 2.45-2.66
Ca 0.2753 0.0000 0.7713  5 O 2.28-2.49
Ca 0.3357 0.2473 0.4131  6 O 2.46-2.49
Ca 0.3357 0.7527 0.4131  6 O 2.46-2.49
Ca 0.6727 0.2529 0.0829  6 O 2.45-2.50
Ca 0.6727 0.7471 0.0829  6 O 2.45-2.50
P 0.0390 0.5000 0.1651  4 O 1.55-1.57
P 0.3847 0.5000 0.7210  4 O 1.56-1.57
P 0.4182 0.0000 0.1271  4 O 1.55-1.56
P 0.5880 0.5000 0.3675  4 O 1.55-1.57
P 0.6202 0.0000 0.7804  4 O 1.55-1.57
P 0.9694 0.0000 0.3318  4 O 1.55-1.57
Cl 0.0054 0.2460 0.7485  5 Sr 3.06-3.12, 1 Ca 3.10, 6 O 3.17-3.28
Cl 0.0054 0.7540 0.7485  5 Sr 3.06-3.12, 1 Ca 3.10, 6 O 3.17-3.28
O 0.0873 0.3216 0.1066  1 P 1.55
O 0.0873 0.6784 0.1066  1 P 1.55
O 0.1405 0.5000 0.3468  1 P 1.57
O 0.1451 0.0000 0.3833  1 P 1.55
O 0.2795 0.3196 0.6792  1 P 1.56
O 0.2795 0.6804 0.6792  1 P 1.56
O 0.3593 0.1769 0.0183  1 P 1.55
O 0.3593 0.8231 0.0183  1 P 1.55
O 0.3627 0.0000 0.2482  1 P 1.55
O 0.4065 0.5000 0.2871  1 P 1.57
O 0.4580 0.5000 0.6128  1 P 1.57
O 0.4995 0.0000 0.6038  1 P 1.55
O 0.5133 0.5000 0.8953  1 P 1.56
O 0.5385 0.0000 0.8808  1 P 1.57
O 0.5995 0.0000 0.2076  1 P 1.56
O 0.6431 0.5000 0.2458  1 P 1.55
O 0.6460 0.3216 0.4744  1 P 1.55
O 0.6460 0.6784 0.4744  1 P 1.55
O 0.7271 0.1782 0.8299  1 P 1.55
O 0.7271 0.8218 0.8299  1 P 1.55
O 0.8626 0.5000 0.1107  1 P 1.55
O 0.8662 0.0000 0.1500  1 P 1.57
O 0.9209 0.1789 0.3896  1 P 1.55
O 0.9209 0.8211 0.3896  1 P 1.55

Calculated values
**DFT total energy**: -0.5161 Ry per atom
**Total moment**: 0.0 μB per formula unit
**Space-group type**: Pm
**Formation energy without anion corrections**: -2.890 eV per atom

=====

Record 4
An optimized crystal structure of CuSeCl2. Source: Alexandria, functional PBE.

a b c (Å): 3.6110 3.6253 6.4376
angles (deg): 90.00 98.49 90.00
Last column: nearest neighbours and their distance in Å.
Sites, in units of the cell vectors:
Cu 0.0000 0.0000 0.0000  4 Cl 2.56
Se 0.0000 0.0000 0.5000  4 Cl 2.56
Cl 0.5000 0.5000 0.0000  4 Cu 2.56
Cl 0.5000 0.5000 0.5000  4 Se 2.56

Calculated values
**DFT total energy**: -0.1978 Ry per atom
**Total moment**: 0.0 μB per formula unit
**Energy relative to the lowest polymorph listed for this composition**: 424 meV per atom
**Space-group type**: P2/m
**Formation energy without anion corrections**: 0.127 eV per atom